Crystalline ScRu2W at its relaxed geometry, computed with PBE-GGA.

Structure (POSCAR):
```
ScRu2W
1.0
-4.6041 1.0995 1.7901
-4.9264 -1.1269 -0.2668
-0.5903 -2.9823 3.3207
Ru Sc W
2 1 1
direct
0.0090 0.0090 0.9257 Ru
0.2462 0.2462 0.3170 Ru
0.5029 0.5029 0.4371 Sc
0.7418 0.7418 0.8202 W
```

Calculated values
E_form, meV/atom: -104
Total energy, eV/atom: -9.563
Symmetry: Cm (8)